! InCoMo2 SCAN single point on PBEsol structure; values from VASP
&SYSTEM
  ibrav = 0, nat = 4, ntyp = 3
/
ATOMIC_SPECIES
In 114.82 In.upf
Co 58.93 Co.upf
Mo 95.94 Mo.upf
ATOMIC_POSITIONS angstrom
In 0.000 0.000 0.000
Co -0.212 0.000 2.676
Mo 0.961 2.047 3.859
Mo 1.370 2.047 1.492
CELL_PARAMETERS angstrom
2.755 0.000 0.000
0.000 4.095 0.000
-0.424 0.000 5.351
! - energy relative to the elements (meV per atom) = 303
! - theoretical density (kg/m3) = 10059
! - calculated volume (Å³/f.u.) = 60.4
! - calculated total energy (eV/atom) = -29.81